Here is a relaxed LaCd2Br crystal from Alexandria via LeMat-Bulk. Energies are from PBE.

Properties
The polymorph energy (0 for the lowest one) is 0.007 eV/atom. The magnetization comes out at 0.0000 μB per atom. As for the raw formation energy: -0.61 eV/atom.

a = 6.696 Å, b = 6.696 Å, c = 4.577 Å
α = 109.69°, β = 109.69°, γ = 34.78°
Fractional positions:
La: 0.000 0.000 0.000
Cd: 0.253 0.253 0.752
Cd: 0.747 0.747 0.248
Br: 0.500 0.500 0.500



Here is a relaxed PrMg2P2Pt7 crystal from Alexandria via LeMat-Bulk. Energies are from PBE.

Properties
The magnetization comes out at 0.0000 μB per atom. The calculation puts the formation energy at -8.19 eV per formula unit.

a = 4.018 Å, b = 4.018 Å, c = 13.891 Å
α = 97.59°, β = 97.59°, γ = 89.49°
Fractional positions:
Pr: 0.000 0.000 0.000
Mg: 0.093 0.093 0.392
Mg: 0.907 0.907 0.608
P: 0.386 0.386 0.736
P: 0.614 0.614 0.264
Pt: 0.076 0.578 0.171
Pt: 0.387 0.387 0.574
Pt: 0.422 0.924 0.829
Pt: 0.500 0.500 0.000
Pt: 0.578 0.076 0.171
Pt: 0.613 0.613 0.426
Pt: 0.924 0.422 0.829



Please write out number 1 again, unchanged.
Here is a relaxed LaCd2Br crystal from Alexandria via LeMat-Bulk. Energies are from PBE.

Properties
The polymorph energy (0 for the lowest one) is 0.007 eV/atom. The magnetization comes out at 0.0000 μB per atom. As for the raw formation energy: -0.61 eV/atom.

a = 6.696 Å, b = 6.696 Å, c = 4.577 Å
α = 109.69°, β = 109.69°, γ = 34.78°
Fractional positions:
La: 0.000 0.000 0.000
Cd: 0.253 0.253 0.752
Cd: 0.747 0.747 0.248
Br: 0.500 0.500 0.500



> What is the magnetization in the first record?

0.0000 μB per atom



> Which formula does entry 1 have?

LaCd2Br